1.
This record from the Alexandria database describes crystalline Ti4InIr5 at its relaxed geometry. The functional is PBE.

Total magnetic moment ... 0.0 Bohr magnetons per cell
ΔH_f (0 K) ... -679 meV/atom
D(E_F) ... 8.5 states/eV/f.u.

a b c (Å): 3.2301 3.2301 14.9745
angles (deg): 90.00 90.00 90.00
Closest atoms and distances in Å follow each position.
Space group P4/mmm (No. 123)
Unique sites:
Ti1 0.0000 0.0000 0.0969 x2  8 Ir 2.71, 2 Ti 2.90-2.96
Ti2 0.0000 0.0000 0.2948 x2  8 Ir 2.66-2.74, 1 Ti 2.96
In1 0.0000 0.0000 0.5000 x1  8 Ir 2.85, 2 Ti 3.07
Ir1 0.5000 0.5000 0.0000 x1  8 Ti 2.71, 2 Ir 2.90
Ir2 0.5000 0.5000 0.1938 x2  8 Ti 2.71-2.74, 2 Ir 2.88-2.90
Ir3 0.5000 0.5000 0.3864 x2  4 Ti 2.66, 4 In 2.85, 1 Ir 2.88

2.
This record from the Alexandria database describes crystalline Ti3InIr at its relaxed geometry. The functional is PBE.

Total magnetic moment ... 0.0 Bohr magnetons per cell
Energy above the lowest structure with this stoichiometry ... 375 meV/atom
ΔH_f (0 K) ... 139 meV/atom
D(E_F) ... 8.0 states/eV/f.u.

a b c (Å): 4.7723 4.7723 4.7723
angles (deg): 90.00 90.00 90.00
Closest atoms and distances in Å follow each position.
Space group Pm-3m (No. 221)
Unique sites:
Ti1 0.0000 0.0000 0.5000 x3  2 Ir 2.39
In1 0.5000 0.5000 0.5000 x1  12 Ti 3.37
Ir1 0.0000 0.0000 0.0000 x1  6 Ti 2.39

Energy values (in eV per atom) by entry order: -8.541, -6.918.